Density functional theory data (PBE) for a relaxed structure of Tm6HgC3.

Energy relative to the elements, eV/atom: -0.36
Magnetization, μB/cell: 0.392
E, eV per atom: -5.842

abc: 3.555 10.896 11.304
angles: 108.45 90.00 90.00
Positions (direct):
Tm 0.750 0.132 0.050
Hg 0.250 0.372 0.112
C 0.750 0.348 0.469
C 0.750 0.962 0.854
C 0.250 0.038 0.146
Tm 0.250 0.868 0.950
Tm 0.750 0.178 0.563
Tm 0.250 0.053 0.762
Tm 0.750 0.947 0.238
Tm 0.750 0.348 0.860
Tm 0.750 0.541 0.383
Tm 0.750 0.755 0.670
C 0.250 0.652 0.531
Tm 0.250 0.245 0.330
Tm 0.250 0.822 0.437
C 0.750 0.742 0.288
Hg 0.750 0.628 0.888
C 0.250 0.258 0.712
Tm 0.250 0.459 0.617
Tm 0.250 0.652 0.140

---

Density functional theory data (PBE) for a relaxed structure of NdAgPb2S4.

Magnetization, μB/cell: 0.000
E, eV per atom: -4.804
Uncorrected formation energy, eV per atom: -0.861

abc: 4.145 7.313 7.012
angles: 70.44 90.00 90.00
Positions (direct):
Ag 0.500 0.500 0.000
S 0.000 0.267 0.245
Pb 0.500 0.000 0.500
S 0.500 0.264 0.741
S 0.500 0.736 0.259
Nd 0.000 0.500 0.500
Pb 0.000 0.000 0.000
S 0.000 0.733 0.755